A relaxed structure of LiCu. Source: the Alexandria database, functional PBE-GGA.

The energy of formation from the pure elements comes out at 0.035 eV per atom. For the density of states at the Fermi level, the calculation gives 4.041 states/eV/cell. The raw total energy is -2.970 eV/atom.

The structure belongs to space group P4/m (No. 83); the cell edges are 7.449, 7.449 and 4.354 Å and the angles 90.00°, 90.00° and 90.00°. The distinct sites, in fractional coordinates, are Li at (0.080, 0.686, 0.000), Li at (0.084, 0.302, 0.500), Cu at (0.278, 0.584, 0.500) and Cu at (0.281, 0.410, 0.000).


A relaxed structure of Ca2Ga3Ag6. Source: the Alexandria database, functional PBE-GGA.

The energy of formation from the pure elements comes out at -0.201 eV per atom. For the density of states at the Fermi level, the calculation gives 4.643 states/eV/cell. The raw total energy is -2.945 eV/atom.

The structure belongs to space group P-62m (No. 189); the cell edges are 7.9094, 7.9094 and 4.3319 Å and the angles 90.00°, 90.00° and 120.00°. The distinct sites, in fractional coordinates, are Ca at (0.3333, 0.6667, 0.0000), Ga at (0.0000, 0.3906, 0.5000), Ag at (0.0000, 0.2072, 0.0000) and Ag at (0.0000, 0.7167, 0.5000).


A relaxed structure of LiDyN. Source: the Alexandria database, functional PBE-GGA.

For the density of states at the Fermi level, the calculation gives 6.561 states/eV/cell. The raw total energy is -5.852 eV/atom.

The structure belongs to space group R-3m (No. 166, hexagonal axes); the cell edges are 3.5499, 3.5499 and 25.8850 Å and the angles 90.00°, 90.00° and 120.00°. The distinct sites, in fractional coordinates, are Li at (0.0000, 0.0000, 0.1885), Dy at (0.0000, 0.0000, 0.3997) and N at (0.0000, 0.0000, 0.1077).


A relaxed structure of ScTcPt2. Source: the Alexandria database, functional PBE-GGA.

The calculation puts the energy relative to the lowest polymorph listed for this composition at 280 meV per atom. The energy of formation from the pure elements comes out at -0.354 eV per atom. For the density of states at the Fermi level, the calculation gives 12.842 states/eV/cell. The raw total energy is -7.549 eV/atom.

The structure belongs to space group F-43m (No. 216); the cell edges are 6.402, 6.402 and 6.402 Å and the angles 90.00°, 90.00° and 90.00°. The distinct sites, in fractional coordinates, are Sc at (0.000, 0.000, 0.000), Tc at (0.250, 0.250, 0.250), Pt at (0.000, 0.000, 0.500) and Pt at (0.250, 0.250, 0.750).


A relaxed structure of Nd6CoOs2Cl3. Source: the Alexandria database, functional PBE-GGA.

For the density of states at the Fermi level, the calculation gives 10.912 states/eV/cell. The raw total energy is -6.074 eV/atom.

The structure belongs to space group C2/m (No. 12); the cell edges are 6.992, 12.109 and 7.966 Å and the angles 90.00°, 107.05° and 90.00°. The distinct sites, in fractional coordinates, are Nd at (0.233, 0.164, 0.206), Nd at (0.241, 0.500, 0.206), Co at (0.000, 0.000, 0.000), Os at (0.000, 0.334, 0.000), Cl at (0.000, 0.168, 0.500) and Cl at (0.000, 0.500, 0.500).


A relaxed structure of Ho3TeOs. Source: the Alexandria database, functional PBE-GGA.

For the density of states at the Fermi level, the calculation gives 13.202 states/eV/cell. The raw total energy is -6.238 eV/atom.

The structure belongs to space group C2/m (No. 12); the cell edges are 15.141, 4.731 and 8.778 Å and the angles 90.00°, 118.24° and 90.00°. The distinct sites, in fractional coordinates, are Ho at (0.062, 0.000, 0.203), Ho at (0.107, 0.500, 0.809), Ho at (0.245, 0.500, 0.230), Te at (0.131, 0.500, 0.468) and Os at (0.165, 0.000, 0.004).


A relaxed structure of Cr4AsSe. Source: the Alexandria database, functional PBE-GGA.

For the density of states at the Fermi level, the calculation gives 18.616 states/eV/cell. The raw total energy is -7.283 eV/atom.

The structure belongs to space group F-43m (No. 216); the cell edges are 6.866, 6.866 and 6.866 Å and the angles 90.00°, 90.00° and 90.00°. The distinct sites, in fractional coordinates, are Cr at (0.124, 0.124, 0.124), As at (0.000, 0.000, 0.500) and Se at (0.250, 0.250, 0.750).


A relaxed structure of Ga2Sn3I8. Source: the Alexandria database, functional PBE-GGA.

For the density of states at the Fermi level, the calculation gives 0.000 states/eV/cell. The raw total energy is -2.785 eV/atom.

The structure belongs to space group C2/m (No. 12); the cell edges are 15.319, 9.270 and 7.902 Å and the angles 90.00°, 90.36° and 90.00°. The distinct sites, in fractional coordinates, are Ga at (0.231, 0.000, 0.013), Sn at (0.000, 0.245, 0.500), Sn at (0.000, 0.500, 0.000), I at (0.118, 0.000, 0.351), I at (0.123, 0.500, 0.329) and I at (0.124, 0.263, 0.830).


A relaxed structure of Tm6Ga2Co. Source: the Alexandria database, functional PBE-GGA.

The energy of formation from the pure elements comes out at -0.290 eV per atom. For the density of states at the Fermi level, the calculation gives 16.478 states/eV/cell. The raw total energy is -4.733 eV/atom.

The structure belongs to space group P2_1/c (No. 14); the cell edges are 5.889, 8.166 and 10.763 Å and the angles 90.00°, 119.96° and 90.00°. The distinct sites, in fractional coordinates, are Tm at (0.061, 0.182, 0.445), Tm at (0.328, 0.673, 0.442), Tm at (0.367, 0.030, 0.259), Ga at (0.174, 0.123, 0.754) and Co at (0.000, 0.000, 0.000).


A relaxed structure of Pm3SeO3. Source: the Alexandria database, functional PBE-GGA.

For the density of states at the Fermi level, the calculation gives 6.916 states/eV/cell. The raw total energy is -7.611 eV/atom.

The structure belongs to space group R-3 (No. 148, hexagonal axes); the cell edges are 6.8515, 6.8515 and 20.8893 Å and the angles 90.00°, 90.00° and 120.00°. The distinct sites, in fractional coordinates, are Pm at (0.9999, 0.3314, 0.0957), Se at (0.0000, 0.0000, 0.3333) and O at (0.9996, 0.3321, 0.8759).


A relaxed structure of Th6HgTe3Os2. Source: the Alexandria database, functional PBE-GGA.

For the density of states at the Fermi level, the calculation gives 17.740 states/eV/cell. The raw total energy is -7.152 eV/atom.

The structure belongs to space group C2/m (No. 12); the cell edges are 19.573, 4.263 and 9.186 Å and the angles 90.00°, 107.77° and 90.00°. The distinct sites, in fractional coordinates, are Th at (0.020, 0.000, 0.258), Th at (0.168, 0.500, 0.127), Th at (0.180, 0.500, 0.561), Hg at (0.000, 0.500, 0.000), Te at (0.000, 0.500, 0.500), Te at (0.160, 0.000, 0.837) and Os at (0.169, 0.000, 0.339).


A relaxed structure of NaTc2HgAs. Source: the Alexandria database, functional PBE-GGA.

The energy of formation from the pure elements comes out at 2.010 eV per atom. For the density of states at the Fermi level, the calculation gives 5.311 states/eV/cell. The raw total energy is -3.390 eV/atom.

The structure belongs to space group P4/mmm (No. 123); the cell edges are 4.810, 4.810 and 4.750 Å and the angles 90.00°, 90.00° and 90.00°. The distinct sites, in fractional coordinates, are Na at (0.000, 0.000, 0.000), Tc at (0.000, 0.500, 0.000), Hg at (0.500, 0.500, 0.500) and As at (0.000, 0.000, 0.500).


Look up the raw total energy of the sixth one.
-6.238 eV/atom


Look up the raw total energy of the third one.
-5.852 eV/atom


Repeat the eighth record exactly.
A relaxed structure of Ga2Sn3I8. Source: the Alexandria database, functional PBE-GGA.

For the density of states at the Fermi level, the calculation gives 0.000 states/eV/cell. The raw total energy is -2.785 eV/atom.

The structure belongs to space group C2/m (No. 12); the cell edges are 15.319, 9.270 and 7.902 Å and the angles 90.00°, 90.36° and 90.00°. The distinct sites, in fractional coordinates, are Ga at (0.231, 0.000, 0.013), Sn at (0.000, 0.245, 0.500), Sn at (0.000, 0.500, 0.000), I at (0.118, 0.000, 0.351), I at (0.123, 0.500, 0.329) and I at (0.124, 0.263, 0.830).